# 1
The following is a DFT calculation (PBEsol) of a geometry-optimized LiTiCo3 structure.

Unit cell a=3.8173 b=3.8173 c=3.8173 alpha=90.00 beta=90.00 gamma=90.00
Last column: nearest neighbours and their distance in Å.
Sites, in units of the cell vectors:
Li (0.0000, 0.0000, 0.0000)  6 Co 1.91
Co (0.0000, 0.5000, 0.0000)  2 Li 1.91
Co (0.0000, 0.0000, 0.5000)  2 Li 1.91
Co (0.5000, 0.0000, 0.0000)  2 Li 1.91
Ti (0.5000, 0.5000, 0.5000)  12 Co 2.70

symmetry: Pm-3m, No. 221
V: 11.12 Å³/atom



# 2
The following is a DFT calculation (PBEsol) of a geometry-optimized Li3TiCo structure.

Unit cell a=4.6441 b=4.6441 c=4.6441 alpha=90.00 beta=90.00 gamma=90.00
Last column: nearest neighbours and their distance in Å.
Sites, in units of the cell vectors:
Li (0.0000, 0.5000, 0.0000)  2 Ti 2.32
Li (0.0000, 0.0000, 0.5000)  2 Ti 2.32
Li (0.5000, 0.0000, 0.0000)  2 Ti 2.32
Co (0.5000, 0.5000, 0.5000)  12 Li 3.28
Ti (0.0000, 0.0000, 0.0000)  6 Li 2.32

symmetry: Pm-3m, No. 221
V: 20.03 Å³/atom



| no. | ΔH_f (0 K) (eV per atom) | total energy (eV per atom) | DOS at the Fermi energy (states/eV/cell) |
| --- | --- | --- | --- |
| 1 | 0.57 | -6.130 | 6.12 |
| 2 | 1.65 | -2.742 | 7.35 |